Record 1
Below is an optimized crystal structure of Pa2MnBr, with properties calculated at the PBE level.

Lattice parameters (Å, degrees): 3.8676 3.8676 7.9212 75.87 75.87 60.00
Fractional positions:
Mn  0.0000  0.0000  0.0000
Pa  0.7263  0.7263  0.8210
Pa  0.2737  0.2737  0.1790
Br  0.5000  0.5000  0.5000

Calculated values
Uncorrected formation energy in eV/atom: -0.302


Record 2
Below is an optimized crystal structure of AgSnTe2N, with properties calculated at the PBE level.

Lattice parameters (Å, degrees): 5.6870 5.6870 4.0171 90.00 90.00 90.00
Fractional positions:
Te  0.5000  0.0000  0.0000
Sn  0.5000  0.5000  0.5000
N  0.0000  0.0000  0.5000
Te  0.0000  0.5000  0.0000
Ag  0.0000  0.0000  0.0000

Calculated values
Uncorrected formation energy in eV/atom: 0.857
ΔE to the lowest computed polymorph in meV/atom: 12


Record 3
Below is an optimized crystal structure of Ti3BiF, with properties calculated at the PBE level.

Lattice parameters (Å, degrees): 5.3811 5.3811 5.3811 90.00 90.00 90.00
Fractional positions:
Ti  0.0000  0.5000  0.0000
Bi  0.0000  0.0000  0.0000
Ti  0.5000  0.0000  0.0000
Ti  0.0000  0.0000  0.5000
F  0.5000  0.5000  0.5000

Calculated values
Uncorrected formation energy in eV/atom: 0.906
ΔE to the lowest computed polymorph in meV/atom: 1436


Record 4
Below is an optimized crystal structure of TbCdGa, with properties calculated at the PBE level.

Lattice parameters (Å, degrees): 3.5190 4.9722 8.9080 90.00 101.39 90.00
Fractional positions:
Tb  0.6639  0.7500  0.3278
Ga  0.1681  0.2500  0.3361
Cd  0.5375  0.2500  0.0750
Cd  0.4625  0.7500  0.9250
Ga  0.8319  0.7500  0.6639
Tb  0.3361  0.2500  0.6722

Calculated values
Energy relative to the elements in meV/atom: -233


In eV/atom, the final energy values for the records above are, in order, -7.76, -3.44, -4.98, -3.09.